DFT (PBE-GGA) results for a relaxed structure of RePb2W.

The structure in POSCAR format:
```
RePb2W
1.0
1.6368 -2.6712 0.0000
1.6368 2.6712 0.0000
0.0000 0.0000 9.2836
Re Pb W
1 2 1
direct
0.0000 0.0000 0.0000
0.5000 0.5000 0.2449
0.5000 0.5000 0.7551
0.0000 0.0000 0.5000
```

ΔE_f: 5.3 eV per formula unit
Mass density: 16.05 g/cm³
Calculated total energy: -27.5 eV for the cell shown
M_tot: 0.000 μB per atom
V: 20.295 Å³/atom
Energy above the lowest structure with this stoichiometry: 923.7 meV per atom